# Y2NiF, optimized geometry, DFT PBE+U
# Distance to the lowest polymorph of the same formula in eV per atom: 0.2582
# Theoretical density in Mg/m³: 5.6
data_Y2NiF
_space_group_name_H-M_alt 'F m -3 m'
_space_group_IT_number 225
_space_group_name_Hall '-F 4 2 3'
_cell_length_a 6.735
_cell_length_b 6.735
_cell_length_c 6.735
_cell_angle_alpha 90.00
_cell_angle_beta 90.00
_cell_angle_gamma 90.00
loop_
_atom_site_label
_atom_site_fract_x
_atom_site_fract_y
_atom_site_fract_z
Y1 0.250 0.250 0.250
Ni1 0.000 0.000 0.000
F1 0.000 0.000 0.500